1.
Computed, not measured: TmCu2Ge2 after structural relaxation at the PBE-GGA level of DFT. Values from VASP.

Uncorrected energy, eV per atom: -4.844
Calculated density, g/cm3: 8.75

```
&SYSTEM
  ibrav = 0, nat = 5, ntyp = 3
/
ATOMIC_SPECIES
Ge 72.64 Ge.upf
Tm 168.93 Tm.upf
Cu 63.55 Cu.upf
CELL_PARAMETERS angstrom
4.0156 0.0023 0.0006
0.0056 4.0156 0.0006
-2.0167 -2.0150 5.1909
ATOMIC_POSITIONS angstrom
Ge 2.0122 2.0103 1.2255
Ge -0.0078 -0.0079 3.9667
Tm 2.0044 2.0027 5.1921
Cu 2.0018 0.0008 2.5961
Cu 0.0026 2.0016 2.5960
```

2.
Computed, not measured: Tm2Cu2Ge3 after structural relaxation at the PBE-GGA level of DFT. Values from VASP.

Uncorrected energy, eV per atom: -5.021
Calculated density, g/cm3: 9.00

```
&SYSTEM
  ibrav = 0, nat = 14, ntyp = 3
/
ATOMIC_SPECIES
Tm 168.93 Tm.upf
Cu 63.55 Cu.upf
Ge 72.64 Ge.upf
CELL_PARAMETERS angstrom
4.0855 0.0000 -0.9740
0.0000 6.6946 0.0000
0.0359 0.0000 9.2057
ATOMIC_POSITIONS angstrom
Tm 0.6518 1.6737 2.7339
Tm 3.4696 5.0210 5.4978
Tm 3.9104 1.6737 7.3466
Tm 0.2110 5.0210 0.8851
Cu 2.8517 6.3054 2.9062
Cu 1.2697 0.3892 5.3255
Cu 1.2697 2.9581 5.3255
Cu 2.8517 3.7365 2.9062
Ge 0.9196 5.0210 3.8572
Ge 3.2018 1.6737 4.3745
Ge 2.3168 2.9502 0.6627
Ge 1.8045 3.7444 7.5690
Ge 1.8045 6.2975 7.5690
Ge 2.3168 0.3971 0.6627
```

3.
Computed, not measured: Tm3Cu4Ge4 after structural relaxation at the PBE-GGA level of DFT. Values from VASP.

Uncorrected energy, eV per atom: -5.010
Calculated density, g/cm3: 9.17

```
&SYSTEM
  ibrav = 0, nat = 11, ntyp = 3
/
ATOMIC_SPECIES
Ge 72.64 Ge.upf
Tm 168.93 Tm.upf
Cu 63.55 Cu.upf
CELL_PARAMETERS angstrom
4.1627 -0.0001 -0.0020
-0.0001 6.6224 0.0012
-2.0825 -3.3118 6.9079
ATOMIC_POSITIONS angstrom
Ge 2.0793 0.0009 3.9049
Ge 0.0008 3.3096 3.0021
Ge 2.0813 5.3461 0.0011
Ge -0.0012 -2.0356 6.9059
Tm 2.0805 3.3096 5.1269
Tm -0.0004 0.0009 1.7801
Tm -0.0001 3.3112 0.0006
Cu 2.0826 2.0509 2.3403
Cu -0.0015 -1.2617 4.5631
Cu -0.0025 1.2596 4.5667
Cu 2.0816 4.5722 2.3439
```

4.
Computed, not measured: Tm3Cu7Ge4 after structural relaxation at the PBE-GGA level of DFT. Values from VASP.

Uncorrected energy, eV per atom: -4.781
Calculated density, g/cm3: 9.12

```
&SYSTEM
  ibrav = 0, nat = 14, ntyp = 3
/
ATOMIC_SPECIES
Tm 168.93 Tm.upf
Cu 63.55 Cu.upf
Ge 72.64 Ge.upf
CELL_PARAMETERS angstrom
3.9948 0.0000 1.0078
1.4955 7.2490 2.4933
0.1423 0.0296 7.8574
ATOMIC_POSITIONS angstrom
Tm 1.5379 1.4360 2.3252
Tm 4.0947 5.8426 9.0332
Tm 0.8189 3.6393 5.1753
Cu 2.6185 5.9117 6.4633
Cu 2.3904 1.4376 7.3674
Cu 4.1168 2.6924 8.9454
Cu 3.0141 1.3670 4.8951
Cu 1.5158 4.5863 2.4130
Cu 0.0000 0.0000 0.0000
Cu 3.2422 5.8411 3.9910
Ge 3.3636 3.3864 3.5096
Ge 2.2690 3.8922 7.8488
Ge 4.9029 6.5796 5.8292
Ge 0.7296 0.6991 5.5292
```

5.
Computed, not measured: TmCu4Ge after structural relaxation at the PBE-GGA level of DFT. Values from VASP.

Uncorrected energy, eV per atom: -4.432
Calculated density, g/cm3: 9.08

```
&SYSTEM
  ibrav = 0, nat = 6, ntyp = 3
/
ATOMIC_SPECIES
Ge 72.64 Ge.upf
Tm 168.93 Tm.upf
Cu 63.55 Cu.upf
CELL_PARAMETERS angstrom
-3.9332 0.0817 3.1535
-4.6960 -0.2360 -1.8203
-2.7650 -4.1593 0.6898
ATOMIC_POSITIONS angstrom
Ge -2.8486 -1.0784 0.5058
Tm 0.0000 0.0000 0.0000
Cu -5.7388 -0.6176 0.9196
Cu -4.7741 -2.5777 2.1736
Cu -7.1202 -2.6956 1.2642
Cu -5.1552 -2.7364 -0.3113
```

6.
Computed, not measured: Tm2Cu3Ge4 after structural relaxation at the PBE-GGA level of DFT. Values from VASP.

Uncorrected energy, eV per atom: -4.834
Calculated density, g/cm3: 8.86

```
&SYSTEM
  ibrav = 0, nat = 18, ntyp = 3
/
ATOMIC_SPECIES
Tm 168.93 Tm.upf
Cu 63.55 Cu.upf
Ge 72.64 Ge.upf
CELL_PARAMETERS angstrom
5.6449 0.0000 0.0000
0.0000 7.4385 0.0000
-2.8225 0.0000 7.3127
ATOMIC_POSITIONS angstrom
Tm 0.0000 4.4007 1.6295
Tm 2.8225 3.0378 5.6833
Tm 0.0000 0.6815 5.6833
Tm 2.8225 6.7570 1.6295
Cu 0.0000 0.0000 0.0000
Cu 2.8225 3.7192 0.0000
Cu 1.4112 5.5789 4.0599
Cu 4.2337 1.8596 3.2528
Cu 1.4112 1.8596 3.2528
Cu -1.4112 5.5789 4.0599
Ge 1.4112 5.5789 6.5243
Ge 4.2337 1.8596 0.7884
Ge 1.4112 1.8596 0.7884
Ge -1.4112 5.5789 6.5243
Ge 0.0000 7.2178 2.6485
Ge 2.8225 0.2207 4.6642
Ge 0.0000 3.4985 4.6642
Ge 2.8225 3.9399 2.6485
```

| no. | ΔH_f (0 K) (eV/atom) | DOS(E_F) (states/eV/atom) |
| --- | --- | --- |
| 1 | -0.464 | 0.16 |
| 2 | -0.594 | 0.16 |
| 3 | -0.621 | 0.22 |
| 4 | -0.456 | 0.34 |
| 5 | -0.187 | 0.69 |
| 6 | -0.423 | 0.36 |